# 1
Material: AlTc
Method: DFT, GGA-PBE
State: relaxed

Lattice parameters (Å, degrees): 4.475 4.547 2.865 90.00 90.00 90.00
Element x y z (fractional)
Tc: 0.500 0.087 0.000
Al: 0.000 0.423 0.000
Tc: 0.000 0.913 0.500
Al: 0.500 0.577 0.500

Values from the calculation:
DFT formation energy = -0.238 eV/atom
size of the total moment = 0.00 μB/f.u.


# 2
Material: YTcSN2
Method: DFT, GGA-PBE
State: relaxed

Lattice parameters (Å, degrees): 4.216 4.216 5.489 90.00 90.00 90.00
Last column: magnetic moment on the atom in μB.
Element x y z (fractional)
N: 0.000 0.500 0.000  0.15
Tc: 0.500 0.500 0.500  3.73
S: 0.000 0.000 0.500  0.00
Y: 0.000 0.000 0.000  0.15
N: 0.500 0.000 0.000  0.15

Values from the calculation:
formation energy (no corrections) = 1.260 eV/atom
size of the total moment = 4.66 μB/f.u.


# 3
Material: Pr3CdAg5
Method: DFT, GGA-PBE
State: relaxed

Lattice parameters (Å, degrees): 8.311 8.311 8.924 117.75 117.75 90.00
Element x y z (fractional)
Pr: 0.750 0.750 0.500
Pr: 0.627 0.127 0.000
Pr: 0.873 0.627 0.000
Ag: 0.000 0.000 0.000
Ag: 0.351 0.851 0.304
Ag: 0.453 0.351 0.304
Ag: 0.953 0.453 0.304
Pr: 0.127 0.373 0.000
Ag: 0.851 0.953 0.304
Ag: 0.649 0.149 0.696
Pr: 0.373 0.873 0.000
Ag: 0.547 0.649 0.696
Ag: 0.500 0.500 0.000
Ag: 0.047 0.547 0.696
Pr: 0.250 0.250 0.500
Cd: 0.250 0.750 0.500
Ag: 0.149 0.047 0.696
Cd: 0.750 0.250 0.500

Values from the calculation:
DFT formation energy = -0.035 eV/atom
size of the total moment = 0.00 μB/f.u.


# 4
Material: ZrBeSi2Sb
Method: DFT, GGA-PBE
State: relaxed

Lattice parameters (Å, degrees): 5.075 5.434 5.075 90.00 90.00 90.00
Element x y z (fractional)
Sb: 0.000 0.000 0.000
Si: 0.000 0.000 0.500
Zr: 0.000 0.500 0.000
Si: 0.500 0.000 0.000
Be: 0.500 0.500 0.500

Values from the calculation:
formation energy (no corrections) = 1.577 eV/atom
size of the total moment = 0.00 μB/f.u.


# 5
Material: Tb9PrNd2
Method: DFT, GGA-PBE
State: relaxed

Lattice parameters (Å, degrees): 5.079 5.079 15.248 90.00 90.00 90.00
Element x y z (fractional)
Tb: 0.500 0.000 0.833
Tb: 0.500 0.000 0.500
Tb: 0.000 0.500 0.833
Tb: 0.000 0.500 0.167
Nd: 0.000 0.000 0.334
Tb: 0.000 0.500 0.500
Nd: 0.000 0.000 0.666
Tb: 0.500 0.500 0.334
Tb: 0.500 0.500 0.666
Tb: 0.500 0.000 0.167
Pr: 0.000 0.000 0.000
Tb: 0.500 0.500 0.000

Values from the calculation:
DFT formation energy = 0.019 eV/atom
size of the total moment = 0.00 μB/f.u.


# 6
Material: KTi2BP
Method: DFT, GGA-PBE
State: relaxed

Lattice parameters (Å, degrees): 4.649 4.011 4.649 90.00 90.00 90.00
Last column: magnetic moment on the atom in μB.
Element x y z (fractional)
P: 0.500 0.500 0.500  -0.02
Ti: 0.500 0.000 0.000  0.34
B: 0.000 0.500 0.000  -0.02
K: 0.000 0.000 0.000  0.13
Ti: 0.000 0.000 0.500  0.63

Values from the calculation:
DFT formation energy = 2.444 eV/atom
size of the total moment = 1.13 μB/f.u.